No. 1
Density functional theory data (PBE) for LaHg3 after structural relaxation.

Summary:
- Magnetization: 0.00 μB/cell
- Density: 11.2 g cm⁻³
- Crystal system: cubic
- Energy relative to the elements: -0.360 eV/atom

abc: 6.0379 6.0379 6.0379
angles: 90.00 90.00 90.00
Element x y z (fractional)
La: 0.0000 0.0000 0.0000
La: 0.5000 0.5000 0.5000
Hg: 0.0000 0.2500 0.5000
Hg: 0.0000 0.7500 0.5000
Hg: 0.2500 0.5000 0.0000
Hg: 0.5000 0.0000 0.2500
Hg: 0.5000 0.0000 0.7500
Hg: 0.7500 0.5000 0.0000

=====

No. 2
Density functional theory data (PBE) for LaHg after structural relaxation.

Summary:
- Magnetization: 0.00 μB/cell
- Density: 5.1 g cm⁻³
- Crystal system: cubic
- Energy relative to the elements: 0.333 eV/atom

abc: 8.6957 8.6957 8.6957
angles: 90.00 90.00 90.00
Element x y z (fractional)
La: 0.0000 0.2500 0.5000
La: 0.0000 0.7500 0.5000
La: 0.2500 0.5000 0.0000
La: 0.5000 0.0000 0.2500
La: 0.5000 0.0000 0.7500
La: 0.7500 0.5000 0.0000
Hg: 0.0000 0.5000 0.2500
Hg: 0.0000 0.5000 0.7500
Hg: 0.2500 0.0000 0.5000
Hg: 0.5000 0.2500 0.0000
Hg: 0.5000 0.7500 0.0000
Hg: 0.7500 0.0000 0.5000

=====

No. 3
Density functional theory data (PBE) for LaHg after structural relaxation.

Summary:
- Magnetization: 0.00 μB/cell
- Density: 9.3 g cm⁻³
- Crystal system: orthorhombic
- Energy relative to the elements: -0.395 eV/atom

abc: 6.8996 6.8996 6.8996
angles: 137.57 73.97 122.55
Element x y z (fractional)
La: 0.0000 0.0000 0.0000
La: 0.1164 0.7948 0.3216
La: 0.4732 0.7948 0.6784
Hg: 0.5048 0.5048 0.0000
Hg: 0.6364 0.2774 0.3589
Hg: 0.9185 0.2774 0.6411

=====

No. 4
Density functional theory data (PBE) for LaHg after structural relaxation.

Summary:
- Magnetization: 1.16 μB/cell
- Density: 8.2 g cm⁻³
- Crystal system: cubic
- Energy relative to the elements: -0.247 eV/atom

abc: 4.5979 4.5979 4.5979
angles: 60.00 60.00 60.00
Element x y z (fractional)
La: 0.0000 0.0000 0.0000
Hg: 0.5000 0.5000 0.5000

=====

No. 5
Density functional theory data (PBE) for La3Hg8 after structural relaxation.

Summary:
- Magnetization: 0.00 μB/cell
- Density: 11.5 g cm⁻³
- Crystal system: trigonal
- Energy relative to the elements: -0.440 eV/atom

abc: 13.0940 13.0940 13.0940
angles: 22.63 22.63 22.63
Element x y z (fractional)
La: 0.0000 0.0000 0.0000
La: 0.4506 0.4506 0.4506
La: 0.5494 0.5494 0.5494
Hg: 0.0851 0.0851 0.0851
Hg: 0.1668 0.1668 0.1668
Hg: 0.2745 0.2745 0.2745
Hg: 0.3642 0.3642 0.3642
Hg: 0.6358 0.6358 0.6358
Hg: 0.7255 0.7255 0.7255
Hg: 0.8332 0.8332 0.8332
Hg: 0.9149 0.9149 0.9149

=====

No. 6
Density functional theory data (PBE) for La4Hg after structural relaxation.

Summary:
- Magnetization: 0.00 μB/cell
- Density: 7.8 g cm⁻³
- Energy above the lowest structure with this stoichiometry: 20 kJ/mol of formula units
- Crystal system: tetragonal
- Energy relative to the elements: -0.154 eV/atom

abc: 6.2176 6.2176 6.2176
angles: 99.23 99.23 132.78
Element x y z (fractional)
La: 0.1157 0.3020 0.4178
La: 0.3020 0.8843 0.1863
La: 0.6980 0.1157 0.8137
La: 0.8843 0.6980 0.5822
Hg: 0.5000 0.5000 0.0000